The following is a DFT calculation (PBE) of crystalline Cs2BPbI6 at its relaxed geometry.

The structure in POSCAR format:
```
Cs2BPbI6
1.0
-8.3357 -1.0109 -2.1300
-1.3174 -4.4932 7.2883
-6.0970 2.0151 5.2884
Pb Cs B I
1 2 1 6
direct
0.0000 0.0000 0.0000
0.7500 0.2500 0.5000
0.2500 0.7500 0.5000
0.5000 0.5000 0.0000
0.2840 0.2840 0.4320
0.7160 0.7160 0.5680
0.2613 0.2613 0.0000
0.7387 0.7387 0.0000
0.7387 0.2613 0.0000
0.2613 0.7387 0.0000
```

## Properties
As for the formation energy from raw total energies: -5.057 eV per formula unit.

The following is a DFT calculation (PBE) of crystalline CsRbB2I8 at its relaxed geometry.

The structure in POSCAR format:
```
CsRbB2I8
1.0
-0.9268 7.2685 1.7917
-2.4904 1.9054 6.8606
9.4871 3.4918 6.6209
Cs Rb B I
1 1 2 8
direct
0.5000 0.5000 0.5000
0.0000 0.0000 0.0000
0.2440 0.2440 0.2679
0.7560 0.7560 0.7321
0.1774 0.1774 0.4679
0.5089 0.3348 0.2020
0.8226 0.8226 0.5321
0.9542 0.5089 0.2020
0.0458 0.4911 0.7980
0.3348 0.9542 0.2020
0.6652 0.0458 0.7980
0.4911 0.6652 0.7980
```

## Properties
As for the formation energy from raw total energies: -6.649 eV per formula unit.

The following is a DFT calculation (PBE) of crystalline Cs2RbBI6 at its relaxed geometry.

The structure in POSCAR format:
```
Cs2RbBI6
1.0
-6.8190 -4.9364 -4.0754
4.8966 -0.1871 -7.9664
1.5307 -7.3615 -4.3765
Cs I B Rb
2 6 1 1
direct
0.7500 0.2500 0.5000
0.2500 0.7500 0.5000
0.3135 0.3135 0.3729
0.6865 0.6865 0.6271
0.2627 0.2627 0.0000
0.7373 0.7373 0.0000
0.7373 0.2627 0.0000
0.2627 0.7373 0.0000
0.5000 0.5000 0.0000
0.0000 0.0000 0.0000
```

## Properties
As for the formation energy from raw total energies: -6.292 eV per formula unit.

The following is a DFT calculation (PBE) of crystalline CsRb2BI6 at its relaxed geometry.

The structure in POSCAR format:
```
CsRb2BI6
1.0
9.3063 0.0000 0.0000
0.0000 9.3063 0.0000
4.6532 4.6532 5.7129
Cs I B Rb
1 6 1 2
direct
0.0000 0.0000 0.0000
0.3104 0.3104 0.3792
0.6896 0.6896 0.6208
0.2734 0.2734 0.0000
0.7266 0.7266 0.0000
0.7266 0.2734 0.0000
0.2734 0.7266 0.0000
0.5000 0.5000 0.0000
0.7500 0.2500 0.5000
0.2500 0.7500 0.5000
```

## Properties
As for the formation energy from raw total energies: -5.664 eV per formula unit.

The following is a DFT calculation (PBE) of crystalline Cs2BSI6 at its relaxed geometry.

The structure in POSCAR format:
```
Cs2BSI6
1.0
7.9237 0.0000 0.0000
0.0000 7.9237 0.0000
3.9618 3.9618 6.2707
Cs I S B
2 6 1 1
direct
0.7500 0.2500 0.5000
0.2500 0.7500 0.5000
0.2158 0.2158 0.5685
0.7842 0.7842 0.4315
0.2806 0.2806 0.0000
0.7194 0.7194 0.0000
0.7194 0.2806 0.0000
0.2806 0.7194 0.0000
0.0000 0.0000 0.0000
0.5000 0.5000 0.0000
```

## Properties
As for the formation energy from raw total energies: -3.095 eV per formula unit.

The following is a DFT calculation (PBE) of crystalline CsBSbI2 at its relaxed geometry.

The structure in POSCAR format:
```
CsBSbI2
1.0
6.5387 0.0000 0.0000
0.0000 4.5474 0.0000
0.0000 0.0000 6.5387
Cs I B Sb
1 2 1 1
direct
0.5000 0.5000 0.5000
0.0000 0.0000 0.5000
0.5000 0.0000 0.0000
0.0000 0.5000 0.0000
0.0000 0.0000 0.0000
```

## Properties
The value obtained for the polymorph energy (0 for the lowest one) is 0 meV per atom. As for the formation energy from raw total energies: 0.720 eV per formula unit.